1.
# Zn2CrCl, relaxed, DFT GGA-PBEsol
# N(E_F) = 0.455 states/eV per atom
# Total magnetization = 1.150 μB/atom
# Polymorph energy (0 for the lowest one) = 506 meV per atom
# Symmetry = Fm-3m
# Uncorrected energy = -3.21 eV/atom
# Formation energy (no corrections) = 647 meV/atom
data_Zn2CrCl
_chemical_formula_sum 'Zn2 Cr1 Cl1'
_cell_length_a 4.688
_cell_length_b 4.688
_cell_length_c 4.688
_cell_angle_alpha 60.00
_cell_angle_beta 60.00
_cell_angle_gamma 60.00
_symmetry_space_group_name_H-M 'P 1'
_symmetry_Int_Tables_number 1
loop_
_symmetry_equiv_pos_as_xyz
'x,y,z'
loop_
_atom_site_label
_atom_site_type_symbol
_atom_site_fract_x
_atom_site_fract_y
_atom_site_fract_z
Zn1 Zn 0.250 0.250 0.250
Zn2 Zn 0.750 0.750 0.750
Cr1 Cr 0.000 0.000 0.000
Cl1 Cl 0.500 0.500 0.500

2.
# BaPtPb2, relaxed, DFT GGA-PBEsol
# N(E_F) = 0.434 states/eV per atom
# Total magnetization = 0.000 μB/atom
# Symmetry = R-3m
# Uncorrected energy = -4.75 eV/atom
data_BaPtPb2
_chemical_formula_sum 'Ba1 Pt1 Pb2'
_cell_length_a 6.704
_cell_length_b 6.704
_cell_length_c 6.704
_cell_angle_alpha 40.71
_cell_angle_beta 40.71
_cell_angle_gamma 40.71
_symmetry_space_group_name_H-M 'P 1'
_symmetry_Int_Tables_number 1
loop_
_symmetry_equiv_pos_as_xyz
'x,y,z'
loop_
_atom_site_label
_atom_site_type_symbol
_atom_site_fract_x
_atom_site_fract_y
_atom_site_fract_z
Ba1 Ba 0.000 0.000 0.000
Pt1 Pt 0.500 0.500 0.500
Pb1 Pb 0.217 0.217 0.217
Pb2 Pb 0.783 0.783 0.783

3.
# YTa2I, relaxed, DFT GGA-PBEsol
# N(E_F) = 1.189 states/eV per atom
# Total magnetization = 0.000 μB/atom
# Symmetry = Fm-3m
# Uncorrected energy = -7.47 eV/atom
# Formation energy (no corrections) = 958 meV/atom
data_YTa2I
_chemical_formula_sum 'Y1 Ta2 I1'
_cell_length_a 4.889
_cell_length_b 4.889
_cell_length_c 4.889
_cell_angle_alpha 60.00
_cell_angle_beta 60.00
_cell_angle_gamma 60.00
_symmetry_space_group_name_H-M 'P 1'
_symmetry_Int_Tables_number 1
loop_
_symmetry_equiv_pos_as_xyz
'x,y,z'
loop_
_atom_site_label
_atom_site_type_symbol
_atom_site_fract_x
_atom_site_fract_y
_atom_site_fract_z
Y1 Y 0.000 0.000 0.000
Ta1 Ta 0.250 0.250 0.250
Ta2 Ta 0.750 0.750 0.750
I1 I 0.500 0.500 0.500

4.
# KIrI3, relaxed, DFT GGA-PBEsol
# N(E_F) = 1.783 states/eV per atom
# Total magnetization = 0.003 μB/atom
# Symmetry = Pm-3m
# Uncorrected energy = -3.53 eV/atom
# Formation energy (no corrections) = -282 meV/atom
data_KIrI3
_chemical_formula_sum 'K1 Ir1 I3'
_cell_length_a 5.436
_cell_length_b 5.436
_cell_length_c 5.436
_cell_angle_alpha 90.00
_cell_angle_beta 90.00
_cell_angle_gamma 90.00
_symmetry_space_group_name_H-M 'P 1'
_symmetry_Int_Tables_number 1
loop_
_symmetry_equiv_pos_as_xyz
'x,y,z'
loop_
_atom_site_label
_atom_site_type_symbol
_atom_site_fract_x
_atom_site_fract_y
_atom_site_fract_z
K1 K 0.000 0.000 0.000
Ir1 Ir 0.500 0.500 0.500
I1 I 0.000 0.500 0.500
I2 I 0.500 0.000 0.500
I3 I 0.500 0.500 0.000

5.
# La4MgCo, relaxed, DFT GGA-PBEsol
# N(E_F) = 1.074 states/eV per atom
# Total magnetization = 0.000 μB/atom
# Symmetry = F-43m
# Uncorrected energy = -5.24 eV/atom
data_La4MgCo
_chemical_formula_sum 'La16 Mg4 Co4'
_cell_length_a 9.842
_cell_length_b 9.842
_cell_length_c 9.842
_cell_angle_alpha 60.00
_cell_angle_beta 60.00
_cell_angle_gamma 60.00
_symmetry_space_group_name_H-M 'P 1'
_symmetry_Int_Tables_number 1
loop_
_symmetry_equiv_pos_as_xyz
'x,y,z'
loop_
_atom_site_label
_atom_site_type_symbol
_atom_site_fract_x
_atom_site_fract_y
_atom_site_fract_z
La1 La 0.188 0.188 0.812
La2 La 0.188 0.812 0.188
La3 La 0.188 0.812 0.812
La4 La 0.343 0.343 0.343
La5 La 0.343 0.343 0.970
La6 La 0.343 0.970 0.343
La7 La 0.559 0.559 0.941
La8 La 0.559 0.941 0.559
La9 La 0.559 0.941 0.941
La10 La 0.812 0.188 0.188
La11 La 0.812 0.188 0.812
La12 La 0.812 0.812 0.188
La13 La 0.941 0.559 0.559
La14 La 0.941 0.559 0.941
La15 La 0.941 0.941 0.559
La16 La 0.970 0.343 0.343
Mg1 Mg 0.264 0.579 0.579
Mg2 Mg 0.579 0.264 0.579
Mg3 Mg 0.579 0.579 0.264
Mg4 Mg 0.579 0.579 0.579
Co1 Co 0.140 0.140 0.140
Co2 Co 0.140 0.140 0.579
Co3 Co 0.140 0.579 0.140
Co4 Co 0.579 0.140 0.140

6.
# TaMnIn2, relaxed, DFT GGA-PBEsol
# N(E_F) = 0.866 states/eV per atom
# Total magnetization = 0.771 μB/atom
# Polymorph energy (0 for the lowest one) = 181 meV per atom
# Symmetry = I4/mmm
# Uncorrected energy = -6.72 eV/atom
data_TaMnIn2
_chemical_formula_sum 'Ta1 Mn1 In2'
_cell_length_a 5.199
_cell_length_b 5.199
_cell_length_c 5.199
_cell_angle_alpha 133.83
_cell_angle_beta 133.83
_cell_angle_gamma 67.35
_symmetry_space_group_name_H-M 'P 1'
_symmetry_Int_Tables_number 1
loop_
_symmetry_equiv_pos_as_xyz
'x,y,z'
loop_
_atom_site_label
_atom_site_type_symbol
_atom_site_fract_x
_atom_site_fract_y
_atom_site_fract_z
Ta1 Ta 0.000 0.000 0.000
Mn1 Mn 0.500 0.500 0.000
In1 In 0.250 0.750 0.500
In2 In 0.750 0.250 0.500

7.
# MgTiHg3, relaxed, DFT GGA-PBEsol
# N(E_F) = 0.805 states/eV per atom
# Total magnetization = 0.355 μB/atom
# Symmetry = Pm-3m
# Uncorrected energy = -1.84 eV/atom
data_MgTiHg3
_chemical_formula_sum 'Mg1 Ti1 Hg3'
_cell_length_a 5.221
_cell_length_b 5.221
_cell_length_c 5.221
_cell_angle_alpha 90.00
_cell_angle_beta 90.00
_cell_angle_gamma 90.00
_symmetry_space_group_name_H-M 'P 1'
_symmetry_Int_Tables_number 1
loop_
_symmetry_equiv_pos_as_xyz
'x,y,z'
loop_
_atom_site_label
_atom_site_type_symbol
_atom_site_fract_x
_atom_site_fract_y
_atom_site_fract_z
Mg1 Mg 0.000 0.000 0.000
Ti1 Ti 0.500 0.500 0.500
Hg1 Hg 0.000 0.500 0.500
Hg2 Hg 0.500 0.000 0.500
Hg3 Hg 0.500 0.500 0.000

8.
# BaAs2Rh, relaxed, DFT GGA-PBEsol
# N(E_F) = 0.636 states/eV per atom
# Total magnetization = 0.000 μB/atom
# Symmetry = P2/m
# Uncorrected energy = -5.79 eV/atom
data_BaAs2Rh
_chemical_formula_sum 'Ba1 As2 Rh1'
_cell_length_a 4.723
_cell_length_b 4.109
_cell_length_c 5.119
_cell_angle_alpha 90.00
_cell_angle_beta 103.16
_cell_angle_gamma 90.00
_symmetry_space_group_name_H-M 'P 1'
_symmetry_Int_Tables_number 1
loop_
_symmetry_equiv_pos_as_xyz
'x,y,z'
loop_
_atom_site_label
_atom_site_type_symbol
_atom_site_fract_x
_atom_site_fract_y
_atom_site_fract_z
Ba1 Ba 0.000 0.000 0.000
As1 As 0.268 0.500 0.615
As2 As 0.732 0.500 0.385
Rh1 Rh 0.500 0.000 0.500

9.
# Y2InCu, relaxed, DFT GGA-PBEsol
# N(E_F) = 0.960 states/eV per atom
# Total magnetization = 0.000 μB/atom
# Symmetry = Amm2
# Uncorrected energy = -5.56 eV/atom
data_Y2InCu
_chemical_formula_sum 'Y2 In1 Cu1'
_cell_length_a 4.501
_cell_length_b 5.944
_cell_length_c 5.944
_cell_angle_alpha 36.72
_cell_angle_beta 90.00
_cell_angle_gamma 90.00
_symmetry_space_group_name_H-M 'P 1'
_symmetry_Int_Tables_number 1
loop_
_symmetry_equiv_pos_as_xyz
'x,y,z'
loop_
_atom_site_label
_atom_site_type_symbol
_atom_site_fract_x
_atom_site_fract_y
_atom_site_fract_z
Y1 Y 0.000 0.000 0.000
Y2 Y 0.500 0.304 0.304
In1 In 0.500 0.584 0.584
Cu1 Cu 0.000 0.729 0.729

10.
# TiCu2SbN, relaxed, DFT GGA-PBEsol
# N(E_F) = 0.739 states/eV per atom
# Total magnetization = 0.306 μB/atom
# Symmetry = P4/mmm
# Uncorrected energy = -4.76 eV/atom
# Formation energy (no corrections) = 1254 meV/atom
data_TiCu2SbN
_chemical_formula_sum 'Ti1 Cu2 Sb1 N1'
_cell_length_a 4.690
_cell_length_b 4.690
_cell_length_c 4.122
_cell_angle_alpha 90.00
_cell_angle_beta 90.00
_cell_angle_gamma 90.00
_symmetry_space_group_name_H-M 'P 1'
_symmetry_Int_Tables_number 1
loop_
_symmetry_equiv_pos_as_xyz
'x,y,z'
loop_
_atom_site_label
_atom_site_type_symbol
_atom_site_fract_x
_atom_site_fract_y
_atom_site_fract_z
Ti1 Ti 0.000 0.000 0.000
Cu1 Cu 0.000 0.500 0.500
Cu2 Cu 0.500 0.000 0.500
Sb1 Sb 0.500 0.500 0.500
N1 N 0.500 0.500 0.000

11.
# SrCa5, relaxed, DFT GGA-PBEsol
# N(E_F) = 1.054 states/eV per atom
# Total magnetization = 0.000 μB/atom
# Symmetry = Cm
# Uncorrected energy = -2.07 eV/atom
data_SrCa5
_chemical_formula_sum 'Sr1 Ca5'
_cell_length_a 7.536
_cell_length_b 7.536
_cell_length_c 9.321
_cell_angle_alpha 105.53
_cell_angle_beta 105.53
_cell_angle_gamma 29.99
_symmetry_space_group_name_H-M 'P 1'
_symmetry_Int_Tables_number 1
loop_
_symmetry_equiv_pos_as_xyz
'x,y,z'
loop_
_atom_site_label
_atom_site_type_symbol
_atom_site_fract_x
_atom_site_fract_y
_atom_site_fract_z
Sr1 Sr 0.000 0.000 0.000
Ca1 Ca 0.055 0.055 0.608
Ca2 Ca 0.331 0.331 0.661
Ca3 Ca 0.385 0.385 0.281
Ca4 Ca 0.668 0.668 0.338
Ca5 Ca 0.724 0.724 0.941

12.
# InOs2I, relaxed, DFT GGA-PBEsol
# N(E_F) = 0.822 states/eV per atom
# Total magnetization = 0.000 μB/atom
# Symmetry = Fm-3m
# Uncorrected energy = -6.09 eV/atom
# Formation energy (no corrections) = 1204 meV/atom
data_InOs2I
_chemical_formula_sum 'In1 Os2 I1'
_cell_length_a 4.617
_cell_length_b 4.617
_cell_length_c 4.617
_cell_angle_alpha 60.00
_cell_angle_beta 60.00
_cell_angle_gamma 60.00
_symmetry_space_group_name_H-M 'P 1'
_symmetry_Int_Tables_number 1
loop_
_symmetry_equiv_pos_as_xyz
'x,y,z'
loop_
_atom_site_label
_atom_site_type_symbol
_atom_site_fract_x
_atom_site_fract_y
_atom_site_fract_z
In1 In 0.000 0.000 0.000
Os1 Os 0.250 0.250 0.250
Os2 Os 0.750 0.750 0.750
I1 I 0.500 0.500 0.500

13.
# LiIn2Ni, relaxed, DFT GGA-PBEsol
# N(E_F) = 0.269 states/eV per atom
# Total magnetization = 0.000 μB/atom
# Symmetry = Pmm2
# Uncorrected energy = -3.71 eV/atom
data_LiIn2Ni
_chemical_formula_sum 'Li1 In2 Ni1'
_cell_length_a 3.239
_cell_length_b 4.423
_cell_length_c 4.421
_cell_angle_alpha 90.00
_cell_angle_beta 90.00
_cell_angle_gamma 90.00
_symmetry_space_group_name_H-M 'P 1'
_symmetry_Int_Tables_number 1
loop_
_symmetry_equiv_pos_as_xyz
'x,y,z'
loop_
_atom_site_label
_atom_site_type_symbol
_atom_site_fract_x
_atom_site_fract_y
_atom_site_fract_z
Li1 Li 0.000 0.000 0.000
In1 In 0.500 0.000 0.500
In2 In 0.500 0.500 0.001
Ni1 Ni 0.000 0.500 0.501